Computed, not measured: a relaxed PrTm2ScS4 crystal at the GGA-PBE level of DFT.

## Properties
- Calculated total energy: -51.78 eV per cell
- ρ: 6529 kg/m3
- Volume: 165.8 Å³/cell
- Uncorrected formation energy: -1.902 eV per atom

Lattice parameters (Å, degrees): 6.7212 3.8353 6.7963 90.00 108.83 90.00
Space group P2/m (No. 10)
Inequivalent atoms, fractional coordinates:
Pr 0.0000 0.0000 0.0000
Tm 0.5000 0.0000 0.5000
Tm 0.5000 0.5000 0.0000
Sc 0.0000 0.5000 0.5000
S 0.2518 0.0000 0.7368
S 0.2626 0.5000 0.2684

Computed, not measured: a relaxed Pr3Tm2ScS6 crystal at the GGA-PBE level of DFT.

## Properties
- Calculated total energy: -156.00 eV per cell
- ρ: 6325 kg/m3
- Volume: 524.0 Å³/cell
- Uncorrected formation energy: -1.968 eV per atom

Lattice parameters (Å, degrees): 6.7340 11.6948 7.0262 90.00 108.74 90.00
Space group C2/m (No. 12)
Inequivalent atoms, fractional coordinates:
Pr 0.0000 0.0000 0.0000
Pr 0.0000 0.3317 0.0000
Tm 0.0000 0.1663 0.5000
Sc 0.0000 0.5000 0.5000
S 0.2371 0.3361 0.7210
S 0.2469 0.0000 0.7230

Computed, not measured: a relaxed PrTmSc2S4 crystal at the GGA-PBE level of DFT.

## Properties
- Calculated total energy: -53.57 eV per cell
- ρ: 5480 kg/m3
- Volume: 160.0 Å³/cell
- Uncorrected formation energy: -1.893 eV per atom

Lattice parameters (Å, degrees): 6.6719 3.7906 6.6857 90.00 108.86 90.00
Space group P2/m (No. 10)
Inequivalent atoms, fractional coordinates:
Pr 0.0000 0.0000 0.0000
Tm 0.5000 0.5000 0.0000
Sc 0.0000 0.5000 0.5000
Sc 0.5000 0.0000 0.5000
S 0.2551 0.0000 0.7328
S 0.2697 0.5000 0.2756

Computed, not measured: a relaxed PrTm2ScS6 crystal at the GGA-PBE level of DFT.

## Properties
- Calculated total energy: -193.95 eV per cell
- ρ: 4815 kg/m3
- Volume: 740.9 Å³/cell
- Uncorrected formation energy: -1.983 eV per atom

Lattice parameters (Å, degrees): 6.8414 6.8414 18.2788 90.00 90.00 120.00
Space group R3 (No. 146, hexagonal axes)
Inequivalent atoms, fractional coordinates:
Pr 0.0000 0.0000 0.0000
Tm 0.0000 0.0000 0.2885
Tm 0.0000 0.0000 0.7963
Sc 0.0000 0.0000 0.4877
S 0.0255 0.3478 0.5560
S 0.0267 0.7252 0.3921

Computed, not measured: a relaxed Pr2ScVS6 crystal at the GGA-PBE level of DFT.

## Properties
- Calculated total energy: -133.92 eV per cell
- ρ: 4412 kg/m3
- Volume: 429.1 Å³/cell
- Uncorrected formation energy: -1.719 eV per atom

Lattice parameters (Å, degrees): 6.4238 7.0895 11.3315 90.00 123.74 90.00
Space group P2_1/c (No. 14)
Inequivalent atoms, fractional coordinates:
Pr 0.2106 0.0980 0.2487
Sc 0.5000 0.0000 0.0000
V 0.0000 0.0000 0.5000
S 0.1184 0.1949 0.9449
S 0.2593 0.6843 0.9453
S 0.3560 0.0241 0.7421

Computed, not measured: a relaxed Pr2YScS6 crystal at the GGA-PBE level of DFT.

## Properties
- Calculated total energy: -134.78 eV per cell
- ρ: 4227 kg/m3
- Volume: 477.8 Å³/cell
- Uncorrected formation energy: -2.027 eV per atom

Lattice parameters (Å, degrees): 6.6503 7.2979 11.8002 90.00 123.46 90.00
Space group P2_1/c (No. 14)
Inequivalent atoms, fractional coordinates:
Pr 0.2104 0.0954 0.2480
Y 0.5000 0.0000 0.0000
Sc 0.0000 0.0000 0.5000
S 0.1033 0.1928 0.9315
S 0.2457 0.6819 0.9322
S 0.3796 0.0461 0.7420

Computed, not measured: a relaxed PrY2ScS6 crystal at the GGA-PBE level of DFT.

## Properties
- Calculated total energy: -205.91 eV per cell
- ρ: 3647 kg/m3
- Volume: 759.6 Å³/cell
- Uncorrected formation energy: -1.983 eV per atom

Lattice parameters (Å, degrees): 6.9001 6.9001 18.4219 90.00 90.00 120.00
Space group R3 (No. 146, hexagonal axes)
Inequivalent atoms, fractional coordinates:
Pr 0.0000 0.0000 0.0000
Y 0.0000 0.0000 0.2892
Y 0.0000 0.0000 0.7963
Sc 0.0000 0.0000 0.4895
S 0.0163 0.7205 0.3952
S 0.0297 0.3448 0.5585

Computed, not measured: a relaxed Pr4Y3ScS8 crystal at the GGA-PBE level of DFT.

## Properties
- Calculated total energy: -328.82 eV per cell
- ρ: 5237 kg/m3
- Volume: 1076.7 Å³/cell
- Uncorrected formation energy: -1.984 eV per atom

Lattice parameters (Å, degrees): 7.8854 7.8854 19.9947 90.00 90.00 120.00
Space group R-3m (No. 166, hexagonal axes)
Inequivalent atoms, fractional coordinates:
Pr 0.0000 0.0000 0.0000
Pr 0.0000 0.5000 0.0000
Y 0.0000 0.5000 0.5000
Sc 0.0000 0.0000 0.5000
S 0.0000 0.0000 0.2438
S 0.0084 0.5042 0.2419

Computed, not measured: a relaxed Pr2YScS4 crystal at the GGA-PBE level of DFT.

## Properties
- Calculated total energy: -54.55 eV per cell
- ρ: 5143 kg/m3
- Volume: 175.6 Å³/cell
- Uncorrected formation energy: -1.961 eV per atom

Lattice parameters (Å, degrees): 6.7800 3.8935 7.0213 90.00 108.63 90.00
Space group P2/m (No. 10)
Inequivalent atoms, fractional coordinates:
Pr 0.0000 0.0000 0.0000
Pr 0.5000 0.5000 0.0000
Y 0.0000 0.5000 0.5000
Sc 0.5000 0.0000 0.5000
S 0.2500 0.0000 0.7263
S 0.2681 0.5000 0.2791

Computed, not measured: a relaxed PrY2ScS4 crystal at the GGA-PBE level of DFT.

## Properties
- Calculated total energy: -56.00 eV per cell
- ρ: 4788 kg/m3
- Volume: 170.6 Å³/cell
- Uncorrected formation energy: -1.932 eV per atom

Lattice parameters (Å, degrees): 6.7593 3.8803 6.8775 90.00 108.96 90.00
Space group P2/m (No. 10)
Inequivalent atoms, fractional coordinates:
Pr 0.0000 0.0000 0.0000
Y 0.5000 0.0000 0.5000
Y 0.5000 0.5000 0.0000
Sc 0.0000 0.5000 0.5000
S 0.2440 0.0000 0.7334
S 0.2555 0.5000 0.2670

Computed, not measured: a relaxed Pr5Se5S2 crystal at the GGA-PBE level of DFT.

## Properties
- Calculated total energy: -145.59 eV per cell
- ρ: 5653 kg/m3
- Volume: 683.6 Å³/cell
- Uncorrected formation energy: -1.935 eV per atom

Lattice parameters (Å, degrees): 13.9109 4.1306 12.3607 90.00 105.76 90.00
Space group C2/m (No. 12)
Inequivalent atoms, fractional coordinates:
Pr 0.0000 0.0000 0.0000
Pr 0.1097 0.0000 0.4135
Pr 0.1901 0.5000 0.8066
Se 0.0000 0.5000 0.5000
Se 0.1619 0.5000 0.0518
Se 0.2430 0.5000 0.3507
S 0.0425 0.0000 0.7886

Computed, not measured: a relaxed Pr3Se2S crystal at the GGA-PBE level of DFT.

## Properties
- Distance to the lowest polymorph of the same formula: 0.047 eV per atom
- Calculated total energy: -73.08 eV per cell
- ρ: 6337 kg/m3
- Volume: 321.1 Å³/cell
- Uncorrected formation energy: -1.851 eV per atom

Lattice parameters (Å, degrees): 4.1701 4.1701 21.3225 90.00 90.00 120.00
Space group P6_3/mmc (No. 194)
Inequivalent atoms, fractional coordinates:
Pr 0.0000 0.0000 0.0000
Pr 0.3333 0.6667 0.1658
Se 0.3333 0.6667 0.5838
S 0.0000 0.0000 0.2500